# 1
The following is a PBE-GGA calculation of a relaxed TaAsSe2Cl crystal, from the Alexandria database.

Computed properties:
E_form (uncorrected)	-0.002	eV/atom
N(E_F)	0.8358	states/eV/atom
energy above the lowest structure with this stoichiometry	0.0	kJ/mol of atoms

a b c (Å): 4.9321 4.9321 5.1987
angles (deg): 90.00 90.00 90.00
Space group P4/mmm (No. 123)
Inequivalent atoms, fractional coordinates:
Ta 0.0000 0.0000 0.0000 (multiplicity 1)
As 0.0000 0.0000 0.5000 (multiplicity 1)
Se 0.0000 0.5000 0.0000 (multiplicity 2)
Cl 0.5000 0.5000 0.5000 (multiplicity 1)

=====

# 2
The following is a PBE-GGA calculation of a relaxed Pm8Bi2Ir3 crystal, from the Alexandria database.

Computed properties:
N(E_F)	0.7006	states/eV/atom
E	-6.143	eV/atom

a b c (Å): 10.0216 15.7854 4.9671
angles (deg): 90.00 90.00 90.00
Space group Cmmm (No. 65)
Inequivalent atoms, fractional coordinates:
Pm 0.0000 0.1064 0.0000 (multiplicity 4)
Pm 0.0000 0.3891 0.0000 (multiplicity 4)
Pm 0.2446 0.3916 0.5000 (multiplicity 8)
Bi 0.0000 0.2435 0.5000 (multiplicity 4)
Ir 0.0000 0.5000 0.5000 (multiplicity 2)
Ir 0.2495 0.0000 0.0000 (multiplicity 4)

=====

# 3
The following is a PBE-GGA calculation of a relaxed La3AuO crystal, from the Alexandria database.

Computed properties:
E_form (uncorrected)	-1.321	eV/atom
N(E_F)	1.1101	states/eV/atom
energy above the lowest structure with this stoichiometry	13.4	kJ/mol of atoms

a b c (Å): 14.4672 12.5503 6.7250
angles (deg): 90.00 106.35 90.00
Space group C2/c (No. 15)
Inequivalent atoms, fractional coordinates:
La 0.0991 0.1858 0.1073 (multiplicity 8)
La 0.1131 0.3988 0.6947 (multiplicity 8)
La 0.1884 0.0945 0.6250 (multiplicity 8)
Au 0.0000 0.0252 0.7500 (multiplicity 4)
Au 0.0000 0.3829 0.2500 (multiplicity 4)
O 0.2348 0.0632 0.3080 (multiplicity 8)

=====

# 4
The following is a PBE-GGA calculation of a relaxed V3SnGe crystal, from the Alexandria database.

Computed properties:
N(E_F)	2.2611	states/eV/atom
energy above the lowest structure with this stoichiometry	144.5	kJ/mol of atoms

a b c (Å): 4.9661 4.9661 4.9661
angles (deg): 90.00 90.00 90.00
Space group Pm-3m (No. 221)
Inequivalent atoms, fractional coordinates:
V 0.0000 0.0000 0.5000 (multiplicity 3)
Sn 0.0000 0.0000 0.0000 (multiplicity 1)
Ge 0.5000 0.5000 0.5000 (multiplicity 1)

=====

# 5
The following is a PBE-GGA calculation of a relaxed Sr3Mg2TaO8 crystal, from the Alexandria database.

Computed properties:
E_form (uncorrected)	-2.610	eV/atom
N(E_F)	0.5579	states/eV/atom

a b c (Å): 5.7423 5.7423 7.3111
angles (deg): 90.00 90.00 120.00
Space group P-3m1 (No. 164)
Inequivalent atoms, fractional coordinates:
Sr 0.0000 0.0000 0.0000 (multiplicity 1)
Sr 0.3333 0.6667 0.6317 (multiplicity 2)
Mg 0.3333 0.6667 0.2093 (multiplicity 2)
Ta 0.0000 0.0000 0.5000 (multiplicity 1)
O 0.1612 0.3225 0.3371 (multiplicity 6)
O 0.3333 0.6667 0.9506 (multiplicity 2)

=====

# 6
The following is a PBE-GGA calculation of a relaxed RbZrTe2F crystal, from the Alexandria database.

Computed properties:
E_form (uncorrected)	-1.552	eV/atom
N(E_F)	0.1961	states/eV/atom

a b c (Å): 5.8031 5.8031 4.3446
angles (deg): 90.00 90.00 90.00
Space group P4/mmm (No. 123)
Inequivalent atoms, fractional coordinates:
Rb 0.0000 0.0000 0.0000 (multiplicity 1)
Zr 0.5000 0.5000 0.5000 (multiplicity 1)
Te 0.0000 0.5000 0.5000 (multiplicity 2)
F 0.5000 0.5000 0.0000 (multiplicity 1)

=====

# 7
The following is a PBE-GGA calculation of a relaxed Ac2Pt3O8 crystal, from the Alexandria database.

Computed properties:
E_form (uncorrected)	-1.568	eV/atom

a b c (Å): 10.7084 6.2872 6.1672
angles (deg): 90.00 108.63 90.00
Space group C2/m (No. 12)
Inequivalent atoms, fractional coordinates:
Ac 0.2003 0.0000 0.1597 (multiplicity 4)
Pt 0.0000 0.2518 0.5000 (multiplicity 4)
Pt 0.0000 0.5000 0.0000 (multiplicity 2)
O 0.0864 0.2683 0.8559 (multiplicity 8)
O 0.1181 0.0000 0.4845 (multiplicity 4)
O 0.1177 0.5000 0.4837 (multiplicity 4)

=====

# 8
The following is a PBE-GGA calculation of a relaxed Li2OsPbN crystal, from the Alexandria database.

Computed properties:
E_form (uncorrected)	-0.176	eV/atom
N(E_F)	0.4688	states/eV/atom

a b c (Å): 4.3365 4.3365 3.8260
angles (deg): 90.00 90.00 90.00
Space group P4/mmm (No. 123)
Inequivalent atoms, fractional coordinates:
Li 0.0000 0.5000 0.0000 (multiplicity 2)
Os 0.0000 0.0000 0.5000 (multiplicity 1)
Pb 0.5000 0.5000 0.5000 (multiplicity 1)
N 0.0000 0.0000 0.0000 (multiplicity 1)